1.
{
  "formula": "Na2UPdS4",
  "functional": "PBE",
  "state": "relaxed",
  "lattice": [[7.020, 0.000, 0.000], [0.000, 7.020, 0.000], [0.000, 0.000, 6.498]],
  "species": ["Na", "Na", "Na", "Na", "U", "U", "Pd", "Pd", "S", "S", "S", "S", "S", "S", "S", "S"],
  "frac_coords": [[0.000, 0.500, 0.000], [0.000, 0.500, 0.500], [0.500, 0.000, 0.000], [0.500, 0.000, 0.500], [0.000, 0.000, 0.000], [0.500, 0.500, 0.500], [0.000, 0.000, 0.500], [0.500, 0.500, 0.000], [0.190, 0.190, 0.261], [0.190, 0.810, 0.739], [0.310, 0.310, 0.761], [0.310, 0.690, 0.239], [0.690, 0.310, 0.239], [0.690, 0.690, 0.761], [0.810, 0.190, 0.739], [0.810, 0.810, 0.261]],
  "m_tot_mub_per_cell": 0.466,
  "e_form_raw_kj_per_mol_atoms": -85,
  "space_group": "I-42m",
  "e_tot_ha_per_atom": -0.1959,
  "rho_kg_m3": 5379
}

---

2.
{
  "formula": "Li2AlAg",
  "functional": "PBE",
  "state": "relaxed",
  "lattice": [[6.261, 0.000, 0.000], [0.000, 6.393, 0.000], [-3.129, 0.000, 3.139]],
  "species": ["Li", "Li", "Li", "Li", "Al", "Al", "Ag", "Ag"],
  "frac_coords": [[0.000, 0.000, 0.000], [0.000, 0.248, 0.500], [0.500, 0.500, 0.000], [0.500, 0.748, 0.500], [0.000, 0.750, 0.500], [0.500, 0.250, 0.500], [0.000, 0.499, 0.000], [0.500, 0.999, 0.000]],
  "ef_mev_per_atom": -237,
  "m_tot_mub_per_cell": 0.000,
  "space_group": "C2",
  "e_tot_ha_per_atom": -0.1045,
  "rho_kg_m3": 3931
}

---

3.
{
  "formula": "BaNiAg",
  "functional": "PBE",
  "state": "relaxed",
  "lattice": [[13.144, 0.000, 0.000], [0.000, 4.281, 0.000], [-1.613, 0.000, 5.575]],
  "species": ["Ba", "Ba", "Ba", "Ba", "Ni", "Ni", "Ni", "Ni", "Ag", "Ag", "Ag", "Ag"],
  "frac_coords": [[0.117, 0.000, 0.299], [0.383, 0.500, 0.701], [0.617, 0.500, 0.299], [0.883, 0.000, 0.701], [0.224, 0.000, 0.907], [0.276, 0.500, 0.093], [0.724, 0.500, 0.907], [0.776, 0.000, 0.093], [0.099, 0.500, 0.746], [0.401, 0.000, 0.254], [0.599, 0.000, 0.746], [0.901, 0.500, 0.254]],
  "ef_mev_per_atom": -47,
  "m_tot_mub_per_cell": 0.000,
  "space_group": "C2/m",
  "e_tot_ha_per_atom": -0.1310,
  "rho_kg_m3": 6434
}

---

4.
{
  "formula": "LiCdIr2",
  "functional": "PBE",
  "state": "relaxed",
  "lattice": [[9.169, 0.000, 0.000], [0.000, 2.766, 0.000], [-0.732, 0.000, 4.813]],
  "species": ["Li", "Li", "Cd", "Cd", "Ir", "Ir", "Ir", "Ir"],
  "frac_coords": [[0.000, 0.000, 0.000], [0.500, 0.500, 0.000], [0.000, 0.500, 0.500], [0.500, 0.000, 0.500], [0.248, 0.500, 0.228], [0.252, 0.000, 0.772], [0.748, 0.000, 0.228], [0.752, 0.500, 0.772]],
  "ef_mev_per_atom": -44,
  "m_tot_mub_per_cell": 0.000,
  "space_group": "C2/m",
  "e_tot_ha_per_atom": -0.1904,
  "rho_kg_m3": 13704
}

---

5.
{
  "formula": "Mg2CdSn",
  "functional": "PBE",
  "state": "relaxed",
  "lattice": [[3.440, 0.000, 0.000], [0.000, 3.440, 0.000], [0.000, 0.000, 7.796]],
  "species": ["Mg", "Mg", "Cd", "Sn"],
  "frac_coords": [[0.000, 0.000, 0.235], [0.000, 0.000, 0.765], [0.500, 0.500, 0.000], [0.500, 0.500, 0.500]],
  "ef_mev_per_atom": -100,
  "m_tot_mub_per_cell": 0.000,
  "space_group": "P4/mmm",
  "e_tot_ha_per_atom": -0.0782,
  "rho_kg_m3": 5034
}

---

6.
{
  "formula": "HgCl2F8",
  "functional": "PBE",
  "state": "relaxed",
  "lattice": [[5.287, 0.000, 0.000], [0.023, 7.298, 0.000], [2.344, 3.325, 10.850]],
  "species": ["Hg", "Hg", "Cl", "Cl", "Cl", "Cl", "F", "F", "F", "F", "F", "F", "F", "F", "F", "F", "F", "F", "F", "F", "F", "F"],
  "frac_coords": [[0.188, 0.184, 0.210], [0.812, 0.816, 0.790], [0.235, 0.206, 0.537], [0.409, 0.716, 0.080], [0.591, 0.284, 0.920], [0.765, 0.794, 0.463], [0.119, 0.559, 0.139], [0.169, 0.942, 0.700], [0.194, 0.347, 0.635], [0.281, 0.064, 0.426], [0.292, 0.402, 0.416], [0.295, 0.136, 0.980], [0.389, 0.755, 0.217], [0.452, 0.699, 0.892], [0.548, 0.301, 0.108], [0.611, 0.245, 0.783], [0.705, 0.864, 0.020], [0.708, 0.598, 0.584], [0.719, 0.936, 0.574], [0.806, 0.653, 0.365], [0.831, 0.058, 0.300], [0.881, 0.441, 0.861]],
  "m_tot_mub_per_cell": 0.000,
  "e_form_raw_kj_per_mol_atoms": -80,
  "space_group": "P-1",
  "e_tot_ha_per_atom": -0.0938,
  "rho_kg_m3": 3359
}

---

7.
{
  "formula": "Ac2Tb6Pm3",
  "functional": "PBE",
  "state": "relaxed",
  "lattice": [[3.134, -5.438, 0.000], [3.134, 5.438, 0.000], [-2.091, 0.000, 11.864]],
  "species": ["Ac", "Ac", "Tb", "Tb", "Tb", "Tb", "Tb", "Tb", "Pm", "Pm", "Pm"],
  "frac_coords": [[0.167, 0.833, 0.000], [0.833, 0.167, 0.000], [0.081, 0.414, 0.743], [0.253, 0.253, 0.258], [0.414, 0.081, 0.743], [0.586, 0.919, 0.257], [0.747, 0.747, 0.742], [0.919, 0.586, 0.257], [0.000, 0.000, 0.500], [0.336, 0.664, 0.500], [0.664, 0.336, 0.500]],
  "ef_mev_per_atom": 181,
  "m_tot_mub_per_cell": 0.000,
  "space_group": "C2/m",
  "e_tot_ha_per_atom": -0.1612,
  "rho_kg_m3": 7566
}

---

8.
{
  "formula": "SrCaTl2Cl6",
  "functional": "PBE",
  "state": "relaxed",
  "lattice": [[3.849, 2.222, 6.423], [-3.849, 2.222, 6.423], [0.000, -4.444, 6.423]],
  "species": ["Sr", "Ca", "Tl", "Tl", "Cl", "Cl", "Cl", "Cl", "Cl", "Cl"],
  "frac_coords": [[0.000, 0.000, 0.000], [0.499, 0.499, 0.499], [0.281, 0.281, 0.281], [0.782, 0.782, 0.782], [0.165, 0.718, 0.345], [0.234, 0.655, 0.829], [0.345, 0.165, 0.718], [0.655, 0.829, 0.234], [0.718, 0.345, 0.165], [0.829, 0.234, 0.655]],
  "m_tot_mub_per_cell": 0.000,
  "e_form_raw_kj_per_mol_atoms": -181,
  "space_group": "R3",
  "e_tot_ha_per_atom": -0.1404,
  "rho_kg_m3": 3774
}

---

9.
{
  "formula": "BiCS2Cl",
  "functional": "PBE",
  "state": "relaxed",
  "lattice": [[4.373, 0.000, 0.000], [0.000, 4.373, 0.000], [0.000, 0.000, 4.423]],
  "species": ["Bi", "C", "S", "S", "Cl"],
  "frac_coords": [[0.000, 0.000, 0.000], [0.500, 0.500, 0.500], [0.000, 0.500, 0.500], [0.500, 0.000, 0.500], [0.500, 0.500, 0.000]],
  "m_tot_mub_per_cell": 0.000,
  "e_form_raw_kj_per_mol_atoms": 82,
  "space_group": "P4/mmm",
  "e_tot_ha_per_atom": -0.1394,
  "rho_kg_m3": 6295
}

---

10.
{
  "formula": "CsRbO4",
  "functional": "PBE",
  "state": "relaxed",
  "lattice": [[8.867, 0.000, 0.000], [0.000, 4.550, 0.000], [-4.034, 0.000, 6.398]],
  "species": ["Cs", "Cs", "Rb", "Rb", "O", "O", "O", "O", "O", "O", "O", "O"],
  "frac_coords": [[0.000, 0.000, 0.000], [0.500, 0.500, 0.000], [0.000, 0.500, 0.500], [0.500, 0.000, 0.500], [0.203, 0.000, 0.789], [0.224, 0.500, 0.329], [0.276, 0.000, 0.671], [0.297, 0.500, 0.211], [0.703, 0.500, 0.789], [0.724, 0.000, 0.329], [0.776, 0.500, 0.671], [0.797, 0.000, 0.211]],
  "m_tot_mub_per_cell": 4.000,
  "e_form_raw_kj_per_mol_atoms": -82,
  "space_group": "C2/m",
  "e_tot_ha_per_atom": -0.1638,
  "rho_kg_m3": 3633
}

---

11.
{
  "formula": "KNiSb2",
  "functional": "PBE",
  "state": "relaxed",
  "lattice": [[3.196, 0.000, 0.000], [0.000, 3.811, 0.000], [0.000, 0.000, 17.203]],
  "species": ["K", "K", "Ni", "Ni", "Sb", "Sb", "Sb", "Sb"],
  "frac_coords": [[0.000, 0.000, 0.000], [0.500, 0.500, 0.500], [0.000, 0.500, 0.730], [0.500, 0.000, 0.230], [0.000, 0.000, 0.348], [0.000, 0.500, 0.171], [0.500, 0.000, 0.671], [0.500, 0.500, 0.848]],
  "m_tot_mub_per_cell": 0.000,
  "e_form_raw_kj_per_mol_atoms": -11,
  "space_group": "Imm2",
  "e_tot_ha_per_atom": -0.1430,
  "rho_kg_m3": 5410
}

---

12.
{
  "formula": "PmPuGaPb",
  "functional": "PBE",
  "state": "relaxed",
  "lattice": [[7.567, 0.000, 0.000], [0.000, 7.567, 0.000], [0.000, 0.000, 7.567]],
  "species": ["Pm", "Pm", "Pm", "Pm", "Pu", "Pu", "Pu", "Pu", "Ga", "Ga", "Ga", "Ga", "Pb", "Pb", "Pb", "Pb"],
  "frac_coords": [[0.000, 0.000, 0.000], [0.000, 0.500, 0.500], [0.500, 0.000, 0.500], [0.500, 0.500, 0.000], [0.000, 0.000, 0.500], [0.000, 0.500, 0.000], [0.500, 0.000, 0.000], [0.500, 0.500, 0.500], [0.250, 0.250, 0.250], [0.250, 0.750, 0.750], [0.750, 0.250, 0.750], [0.750, 0.750, 0.250], [0.250, 0.250, 0.750], [0.250, 0.750, 0.250], [0.750, 0.250, 0.250], [0.750, 0.750, 0.750]],
  "ef_mev_per_atom": -280,
  "m_tot_mub_per_cell": 23.888,
  "space_group": "F-43m",
  "e_tot_ha_per_atom": -0.2475,
  "rho_kg_m3": 10208
}